No. 1
SbBrCl4: relaxed, GGA-PBE.

Cell and atoms, written as CIF:
```
data_SbBrCl4
_symmetry_space_group_name_H-M 'P 1'
_symmetry_Int_Tables_number 1
_cell_length_a 7.356
_cell_length_b 7.356
_cell_length_c 7.356
_cell_angle_alpha 119.87
_cell_angle_beta 119.88
_cell_angle_gamma 90.22
loop_
_symmetry_equiv_pos_as_xyz
'x,y,z'
loop_
_atom_site_label
_atom_site_type_symbol
_atom_site_fract_x
_atom_site_fract_y
_atom_site_fract_z
Cl1 Cl 0.370 0.110 0.740
Cl2 Cl 0.370 0.630 0.741
Cl3 Cl 0.890 0.630 0.259
Cl4 Cl 0.370 0.630 0.260
Sb1 Sb 0.500 0.500 0.000
Br1 Br 0.750 0.250 0.500
```

Computed properties:
Relative energy among the computed polymorphs in meV per atom: 205
Space-group type: No. 119
Crystal system: tetragonal

---

No. 2
Sb2BrCl: relaxed, GGA-PBE.

Cell and atoms, written as CIF:
```
data_Sb2BrCl
_symmetry_space_group_name_H-M 'P 1'
_symmetry_Int_Tables_number 1
_cell_length_a 7.686
_cell_length_b 7.686
_cell_length_c 7.686
_cell_angle_alpha 151.31
_cell_angle_beta 143.46
_cell_angle_gamma 47.10
loop_
_symmetry_equiv_pos_as_xyz
'x,y,z'
loop_
_atom_site_label
_atom_site_type_symbol
_atom_site_fract_x
_atom_site_fract_y
_atom_site_fract_z
Cl1 Cl 0.265 0.765 0.500
Br1 Br 0.503 0.503 0.000
Sb1 Sb 0.787 0.287 0.500
Sb2 Sb 0.945 0.945 0.000
```

Computed properties:
Relative energy among the computed polymorphs in meV per atom: 250
Space-group type: No. 44
Crystal system: orthorhombic

---

No. 3
Sb2Br5Cl3: relaxed, GGA-PBE.

Cell and atoms, written as CIF:
```
data_Sb2Br5Cl3
_symmetry_space_group_name_H-M 'P 1'
_symmetry_Int_Tables_number 1
_cell_length_a 8.050
_cell_length_b 12.035
_cell_length_c 12.035
_cell_angle_alpha 52.99
_cell_angle_beta 70.46
_cell_angle_gamma 70.46
loop_
_symmetry_equiv_pos_as_xyz
'x,y,z'
loop_
_atom_site_label
_atom_site_type_symbol
_atom_site_fract_x
_atom_site_fract_y
_atom_site_fract_z
Br1 Br 0.568 0.182 0.182
Br2 Br 0.750 0.500 0.500
Br3 Br 0.932 0.818 0.818
Br4 Br 0.068 0.182 0.182
Br5 Br 0.006 0.281 0.708
Br6 Br 0.432 0.818 0.818
Br7 Br 0.250 0.500 0.500
Br8 Br 0.506 0.708 0.281
Br9 Br 0.994 0.719 0.292
Br10 Br 0.494 0.292 0.719
Sb1 Sb 0.900 0.209 0.992
Sb2 Sb 0.400 0.992 0.209
Sb3 Sb 0.100 0.791 0.008
Sb4 Sb 0.600 0.008 0.791
Cl1 Cl 0.825 0.456 0.895
Cl2 Cl 0.750 0.000 0.000
Cl3 Cl 0.325 0.895 0.456
Cl4 Cl 0.675 0.105 0.544
Cl5 Cl 0.175 0.544 0.105
Cl6 Cl 0.250 0.000 0.000
```

Computed properties:
Calculated total energy in eV/atom: -2.612
Space-group type: No. 72
Crystal system: orthorhombic

---

No. 4
SbBr4Cl: relaxed, GGA-PBE.

Cell and atoms, written as CIF:
```
data_SbBr4Cl
_symmetry_space_group_name_H-M 'P 1'
_symmetry_Int_Tables_number 1
_cell_length_a 6.114
_cell_length_b 6.114
_cell_length_c 6.114
_cell_angle_alpha 60.00
_cell_angle_beta 60.00
_cell_angle_gamma 60.00
loop_
_symmetry_equiv_pos_as_xyz
'x,y,z'
loop_
_atom_site_label
_atom_site_type_symbol
_atom_site_fract_x
_atom_site_fract_y
_atom_site_fract_z
Br1 Br 0.375 0.375 0.874
Br2 Br 0.874 0.375 0.375
Br3 Br 0.375 0.375 0.375
Br4 Br 0.375 0.874 0.375
Cl1 Cl 0.750 0.750 0.750
Sb1 Sb 0.000 0.000 0.000
```

Computed properties:
Relative energy among the computed polymorphs in meV per atom: 932
Space-group type: No. 216
Crystal system: cubic

---

No. 5
Sb2BrCl: relaxed, GGA-PBE.

Cell and atoms, written as CIF:
```
data_Sb2BrCl
_symmetry_space_group_name_H-M 'P 1'
_symmetry_Int_Tables_number 1
_cell_length_a 4.814
_cell_length_b 4.605
_cell_length_c 4.605
_cell_angle_alpha 90.00
_cell_angle_beta 90.00
_cell_angle_gamma 90.00
loop_
_symmetry_equiv_pos_as_xyz
'x,y,z'
loop_
_atom_site_label
_atom_site_type_symbol
_atom_site_fract_x
_atom_site_fract_y
_atom_site_fract_z
Cl1 Cl 0.500 0.000 0.500
Br1 Br 0.500 0.500 0.000
Sb1 Sb 0.000 0.000 0.000
Sb2 Sb 0.000 0.500 0.500
```

Computed properties:
Relative energy among the computed polymorphs in meV per atom: 479
Space-group type: No. 123
Crystal system: tetragonal

---

No. 6
Sb2BrCl: relaxed, GGA-PBE.

Cell and atoms, written as CIF:
```
data_Sb2BrCl
_symmetry_space_group_name_H-M 'P 1'
_symmetry_Int_Tables_number 1
_cell_length_a 5.259
_cell_length_b 5.259
_cell_length_c 5.259
_cell_angle_alpha 60.00
_cell_angle_beta 60.00
_cell_angle_gamma 60.00
loop_
_symmetry_equiv_pos_as_xyz
'x,y,z'
loop_
_atom_site_label
_atom_site_type_symbol
_atom_site_fract_x
_atom_site_fract_y
_atom_site_fract_z
Sb1 Sb 0.250 0.250 0.250
Sb2 Sb 0.750 0.750 0.750
Br1 Br 0.500 0.500 0.500
Cl1 Cl 0.000 0.000 0.000
```

Computed properties:
Relative energy among the computed polymorphs in meV per atom: 641
Space-group type: No. 225
Crystal system: cubic

---

No. 7
SbBrCl4: relaxed, GGA-PBE.

Cell and atoms, written as CIF:
```
data_SbBrCl4
_symmetry_space_group_name_H-M 'P 1'
_symmetry_Int_Tables_number 1
_cell_length_a 8.995
_cell_length_b 6.845
_cell_length_c 10.037
_cell_angle_alpha 96.20
_cell_angle_beta 105.71
_cell_angle_gamma 121.34
loop_
_symmetry_equiv_pos_as_xyz
'x,y,z'
loop_
_atom_site_label
_atom_site_type_symbol
_atom_site_fract_x
_atom_site_fract_y
_atom_site_fract_z
Cl1 Cl 0.646 0.811 0.167
Cl2 Cl 0.020 0.356 0.167
Cl3 Cl 0.980 0.644 0.833
Cl4 Cl 0.354 0.189 0.833
Cl5 Cl 0.756 0.389 0.411
Cl6 Cl 0.156 0.022 0.411
Cl7 Cl 0.844 0.978 0.589
Cl8 Cl 0.244 0.611 0.589
Sb1 Sb 0.945 0.195 0.390
Sb2 Sb 0.055 0.805 0.610
Br1 Br 0.341 0.591 0.183
Br2 Br 0.659 0.409 0.817
```

Computed properties:
Relative energy among the computed polymorphs in meV per atom: 0
Space-group type: No. 15
Crystal system: monoclinic

---

No. 8
SbBr5Cl: relaxed, GGA-PBE.

Cell and atoms, written as CIF:
```
data_SbBr5Cl
_symmetry_space_group_name_H-M 'P 1'
_symmetry_Int_Tables_number 1
_cell_length_a 8.044
_cell_length_b 7.777
_cell_length_c 8.658
_cell_angle_alpha 96.91
_cell_angle_beta 62.32
_cell_angle_gamma 58.86
loop_
_symmetry_equiv_pos_as_xyz
'x,y,z'
loop_
_atom_site_label
_atom_site_type_symbol
_atom_site_fract_x
_atom_site_fract_y
_atom_site_fract_z
Br1 Br 0.069 0.172 0.690
Br2 Br 0.015 0.764 0.718
Br3 Br 0.222 0.336 0.221
Br4 Br 0.981 0.792 0.246
Br5 Br 0.503 0.764 0.718
Cl1 Cl 0.796 0.137 0.272
Sb1 Sb 0.945 0.506 0.604
```

Computed properties:
Calculated total energy in eV/atom: -2.325
Space-group type: No. 8
Crystal system: monoclinic

---

No. 9
Sb2BrCl: relaxed, GGA-PBE.

Cell and atoms, written as CIF:
```
data_Sb2BrCl
_symmetry_space_group_name_H-M 'P 1'
_symmetry_Int_Tables_number 1
_cell_length_a 6.461
_cell_length_b 6.461
_cell_length_c 6.664
_cell_angle_alpha 117.30
_cell_angle_beta 117.30
_cell_angle_gamma 38.08
loop_
_symmetry_equiv_pos_as_xyz
'x,y,z'
loop_
_atom_site_label
_atom_site_type_symbol
_atom_site_fract_x
_atom_site_fract_y
_atom_site_fract_z
Sb1 Sb 0.004 0.004 0.098
Sb2 Sb 0.496 0.496 0.402
Br1 Br 0.750 0.750 0.750
Cl1 Cl 0.250 0.250 0.250
```

Computed properties:
Relative energy among the computed polymorphs in meV per atom: 98
Space-group type: No. 12
Crystal system: monoclinic

---

No. 10
Sb2BrCl: relaxed, GGA-PBE.

Cell and atoms, written as CIF:
```
data_Sb2BrCl
_symmetry_space_group_name_H-M 'P 1'
_symmetry_Int_Tables_number 1
_cell_length_a 5.804
_cell_length_b 5.804
_cell_length_c 3.267
_cell_angle_alpha 90.00
_cell_angle_beta 90.00
_cell_angle_gamma 111.82
loop_
_symmetry_equiv_pos_as_xyz
'x,y,z'
loop_
_atom_site_label
_atom_site_type_symbol
_atom_site_fract_x
_atom_site_fract_y
_atom_site_fract_z
Sb1 Sb 0.500 0.500 0.000
Sb2 Sb 0.000 0.000 0.000
Cl1 Cl 0.000 0.500 0.500
Br1 Br 0.500 0.000 0.500
```

Computed properties:
Relative energy among the computed polymorphs in meV per atom: 494
Space-group type: No. 65
Crystal system: orthorhombic

---

No. 11
Sb2BrCl: relaxed, GGA-PBE.

Cell and atoms, written as CIF:
```
data_Sb2BrCl
_symmetry_space_group_name_H-M 'P 1'
_symmetry_Int_Tables_number 1
_cell_length_a 3.514
_cell_length_b 5.980
_cell_length_c 5.427
_cell_angle_alpha 89.93
_cell_angle_beta 90.00
_cell_angle_gamma 90.00
loop_
_symmetry_equiv_pos_as_xyz
'x,y,z'
loop_
_atom_site_label
_atom_site_type_symbol
_atom_site_fract_x
_atom_site_fract_y
_atom_site_fract_z
Sb1 Sb 0.500 0.500 0.000
Sb2 Sb 0.000 0.000 0.000
Cl1 Cl 0.000 0.000 0.500
Br1 Br 0.500 0.500 0.500
```

Computed properties:
Relative energy among the computed polymorphs in meV per atom: 196
Space-group type: No. 10
Crystal system: monoclinic

---

No. 12
Sb2Br2Cl: relaxed, GGA-PBE.

Cell and atoms, written as CIF:
```
data_Sb2Br2Cl
_symmetry_space_group_name_H-M 'P 1'
_symmetry_Int_Tables_number 1
_cell_length_a 7.608
_cell_length_b 7.608
_cell_length_c 4.768
_cell_angle_alpha 90.00
_cell_angle_beta 90.00
_cell_angle_gamma 90.00
loop_
_symmetry_equiv_pos_as_xyz
'x,y,z'
loop_
_atom_site_label
_atom_site_type_symbol
_atom_site_fract_x
_atom_site_fract_y
_atom_site_fract_z
Sb1 Sb 0.636 0.136 0.000
Sb2 Sb 0.864 0.636 0.000
Sb3 Sb 0.136 0.364 0.000
Sb4 Sb 0.364 0.864 0.000
Cl1 Cl 0.000 0.000 0.000
Cl2 Cl 0.500 0.500 0.000
Br1 Br 0.171 0.671 0.500
Br2 Br 0.671 0.829 0.500
Br3 Br 0.829 0.329 0.500
Br4 Br 0.329 0.171 0.500
```

Computed properties:
Calculated total energy in eV/atom: -2.833
Space-group type: No. 127
Crystal system: tetragonal

---

Number 1: calculated density 2.0 g cm⁻³, calculated volume 46.999 Å³ per atom. Number 2: calculated density 4.6 g cm⁻³, calculated volume 32.322 Å³ per atom. Number 3: calculated density 2.9 g cm⁻³, calculated volume 43.181 Å³ per atom. Number 4: calculated density 4.9 g cm⁻³, calculated volume 26.939 Å³ per atom. Number 5: calculated density 5.8 g cm⁻³, calculated volume 25.518 Å³ per atom. Number 6: calculated density 5.8 g cm⁻³, calculated volume 25.715 Å³ per atom. Number 7: calculated density 2.4 g cm⁻³, calculated volume 40.357 Å³ per atom. Number 8: calculated density 2.6 g cm⁻³, calculated volume 51.587 Å³ per atom. Number 9: calculated density 4.0 g cm⁻³, calculated volume 37.501 Å³ per atom. Number 10: calculated density 5.8 g cm⁻³, calculated volume 25.543 Å³ per atom. Number 11: calculated density 5.2 g cm⁻³, calculated volume 28.513 Å³ per atom. Number 12: calculated density 5.3 g cm⁻³, calculated volume 27.594 Å³ per atom.